Entry from Alexandria: a relaxed AlP2Ir crystal (PBE).

The value obtained for the total energy is -5.791 eV per atom.

The space group is Imm2 (No. 44) and the conventional cell measures 2.786, 4.297 and 10.330 Å, with angles of 90.00, 90.00 and 90.00 degrees. The asymmetric unit holds Al at (0.000, 0.000, 0.000), P at (0.000, 0.000, 0.418), P at (0.000, 0.500, 0.251) and Ir at (0.000, 0.500, 0.718).



Entry from Alexandria: a relaxed AlP2IrS crystal (PBE).

The calculation puts the formation energy from raw total energies at 0.5915 eV per atom. The energy above the most stable polymorph in this dataset comes out at 0.000 eV per atom.

The space group is P4/mmm (No. 123) and the conventional cell measures 4.480, 4.480 and 5.199 Å, with angles of 90.00, 90.00 and 90.00 degrees. The asymmetric unit holds Al at (0.000, 0.000, 0.000), P at (0.000, 0.500, 0.500), Ir at (0.500, 0.500, 0.500) and S at (0.500, 0.500, 0.000).



Entry from Alexandria: a relaxed Tb3AlP2Ir9 crystal (PBE).

The value obtained for the total energy is -7.653 eV per atom.

The space group is P-3m1 (No. 164) and the conventional cell measures 5.6283, 5.6283 and 10.2955 Å, with angles of 90.00, 90.00 and 120.00 degrees. The asymmetric unit holds Tb at (0.0000, 0.0000, 0.0000), Tb at (0.3333, 0.6667, 0.5799), Al at (0.0000, 0.0000, 0.5000), P at (0.3333, 0.6667, 0.1607), Ir at (0.0000, 0.5000, 0.0000) and Ir at (0.1589, 0.3179, 0.3072).



Entry from Alexandria: a relaxed Th2AlPIr6 crystal (PBE).

The value obtained for the total energy is -8.421 eV per atom.

The space group is Pmmn (No. 59, origin choice 2) and the conventional cell measures 5.548, 8.651 and 7.923 Å, with angles of 90.00, 90.00 and 90.00 degrees. The asymmetric unit holds Th at (0.250, 0.016, 0.221), Al at (0.250, 0.750, 0.777), P at (0.250, 0.250, 0.733), Ir at (0.004, 0.750, 0.036), Ir at (0.005, 0.750, 0.506) and Ir at (0.250, 0.000, 0.604).



Entry from Alexandria: a relaxed ThAlPIr6 crystal (PBE).

The value obtained for the total energy is -7.937 eV per atom.

The space group is Imma (No. 74) and the conventional cell measures 6.065, 9.222 and 11.568 Å, with angles of 90.00, 90.00 and 90.00 degrees. The asymmetric unit holds Th at (0.000, 0.250, 0.172), Al at (0.250, 0.250, 0.750), P at (0.000, 0.000, 0.500), Ir at (0.000, 0.250, 0.418), Ir at (0.000, 0.250, 0.914) and Ir at (0.233, 0.014, 0.867).



Entry from Alexandria: a relaxed Al2VPIr crystal (PBE).

The value obtained for the total energy is -5.440 eV per atom.

The space group is P4/mmm (No. 123) and the conventional cell measures 4.756, 4.756 and 4.451 Å, with angles of 90.00, 90.00 and 90.00 degrees. The asymmetric unit holds Al at (0.000, 0.500, 0.000), V at (0.000, 0.000, 0.500), P at (0.500, 0.500, 0.500) and Ir at (0.500, 0.500, 0.000).



| no. | size of the total moment (Bohr magnetons per cell) | ρ (g cm⁻³) |
| --- | --- | --- |
| 1 | 0.0 | 7.55 |
| 2 | 0.0 | 4.98 |
| 3 | 0.0 | 13.50 |
| 4 | 0.0 | 14.63 |
| 5 | 0.0 | 14.82 |
| 6 | 0.2 | 5.41 |